Record 1
SrLiHgPb2 at its PBEsol-relaxed geometry, computed with meta-GGA SCAN.

Summary:
- formation energy (eV per atom) = 0.41
- DOS(E_F) (states/eV/cell) = 4.36
- E_tot (Ry per atom) = -3.5623

a = 6.0948 Å, b = 6.0948 Å, c = 5.9143 Å
α = 90.00°, β = 90.00°, γ = 90.00°
Element x y z (fractional)
Sr (0.0000, 0.0000, 0.0000)
Li (0.5000, 0.5000, 0.5000)
Hg (0.0000, 0.0000, 0.5000)
Pb (0.0000, 0.5000, 0.0000)
Pb (0.5000, 0.0000, 0.0000)

Record 2
LiCuC2 at its PBEsol-relaxed geometry, computed with meta-GGA SCAN.

Summary:
- formation energy (eV per atom) = 1.27
- DOS(E_F) (states/eV/cell) = 2.01
- E_tot (Ry per atom) = -0.6012

a = 7.2132 Å, b = 7.2132 Å, c = 7.2132 Å
α = 152.76°, β = 152.76°, γ = 38.90°
Element x y z (fractional)
Li (0.3750, 0.6250, 0.7500)
Li (0.6250, 0.3750, 0.2500)
Cu (0.1250, 0.8750, 0.2500)
Cu (0.8750, 0.1250, 0.7500)
C (0.0000, 0.0000, 0.0000)
C (0.0000, 0.0000, 0.5000)
C (0.0000, 0.5000, 0.0000)
C (0.5000, 0.0000, 0.5000)